A plane-wave DFT calculation with PBEsol was carried out for an optimized crystal structure of SmFeB4.

Structure (POSCAR):
```
SmFeB4
1.0
3.386 0.000 0.000
0.000 5.924 0.000
0.000 0.000 11.468
B Sm Fe
16 4 4
direct
0.500 0.278 0.318
0.500 0.359 0.468
0.500 0.641 0.532
0.500 0.610 0.955
0.500 0.024 0.689
0.500 0.110 0.545
0.500 0.976 0.311
0.500 0.722 0.682
0.500 0.524 0.811
0.500 0.890 0.455
0.500 0.141 0.968
0.500 0.778 0.182
0.500 0.222 0.818
0.500 0.476 0.189
0.500 0.859 0.032
0.500 0.390 0.045
0.000 0.625 0.349
0.000 0.875 0.849
0.000 0.125 0.151
0.000 0.375 0.651
0.000 0.369 0.913
0.000 0.131 0.413
0.000 0.631 0.087
0.000 0.869 0.587
```

Values from the calculation:
DFT formation energy, eV per atom: -0.596
Space group: Pbam
M_tot, μB per formula unit: 0.00

A plane-wave DFT calculation with PBEsol was carried out for an optimized crystal structure of Sm2Fe17B3.

Structure (POSCAR):
```
Sm2Fe17B3
1.0
-5.726 0.478 -2.884
-1.334 -6.288 0.097
-3.474 0.128 5.409
Fe Sm B
17 2 3
direct
0.096 0.096 0.096
0.000 0.500 0.000
0.278 0.000 0.722
0.722 0.000 0.278
0.337 0.851 0.337
0.000 0.278 0.722
0.278 0.722 0.000
0.663 0.149 0.663
0.000 0.722 0.278
0.722 0.278 0.000
0.337 0.337 0.851
0.663 0.663 0.149
0.500 0.000 0.000
0.851 0.337 0.337
0.904 0.904 0.904
0.000 0.000 0.500
0.149 0.663 0.663
0.345 0.345 0.345
0.655 0.655 0.655
0.500 0.500 0.000
0.500 0.000 0.500
0.000 0.500 0.500
```

Values from the calculation:
DFT formation energy, eV per atom: -0.036
Space group: R-3m
M_tot, μB per formula unit: 31.98

A plane-wave DFT calculation with PBEsol was carried out for an optimized crystal structure of TaFeB.

Structure (POSCAR):
```
TaFeB
1.0
3.168 0.000 0.000
0.000 5.909 0.000
0.000 -2.955 5.118
Ta B Fe
3 3 3
direct
0.500 0.000 0.411
0.500 0.589 0.589
0.500 0.411 0.000
0.500 0.000 0.000
0.000 0.333 0.667
0.000 0.667 0.333
0.000 0.761 0.000
0.000 0.239 0.239
0.000 0.000 0.761
```

Values from the calculation:
DFT formation energy, eV per atom: -0.694
Space group: P-62m
M_tot, μB per formula unit: 0.00

A plane-wave DFT calculation with PBEsol was carried out for an optimized crystal structure of TaFeB3.

Structure (POSCAR):
```
TaFeB3
1.0
4.146 0.000 0.000
0.000 4.146 0.000
0.000 0.000 4.146
Fe Ta B
1 1 3
direct
0.500 0.500 0.500
0.000 0.000 0.000
0.000 0.500 0.000
0.000 0.000 0.500
0.500 0.000 0.000
```

Values from the calculation:
DFT formation energy, eV per atom: 1.760
Space group: Pm-3m
M_tot, μB per formula unit: 3.48

A plane-wave DFT calculation with PBEsol was carried out for an optimized crystal structure of TaFeTc2B.

Structure (POSCAR):
```
TaFeTc2B
1.0
-3.734 -1.051 -2.116
-1.745 -1.735 3.941
-1.768 4.166 1.051
Tc Fe B Ta
2 1 1 1
direct
0.000 0.500 0.000
0.000 0.000 0.500
0.500 0.000 0.000
0.500 0.500 0.500
0.000 0.000 0.000
```

Values from the calculation:
DFT formation energy, eV per atom: 2.674
Space group: P4/mmm
M_tot, μB per formula unit: 4.32

A plane-wave DFT calculation with PBEsol was carried out for an optimized crystal structure of YTaFe2B.

Structure (POSCAR):
```
YTaFe2B
1.0
-2.412 3.270 -1.502
-1.797 0.472 3.913
3.990 3.588 1.400
Fe B Y Ta
2 1 1 1
direct
0.500 0.000 0.000
0.000 0.500 0.000
0.500 0.500 0.500
0.000 0.000 0.500
0.000 0.000 0.000
```

Values from the calculation:
DFT formation energy, eV per atom: 1.932
Space group: P4/mmm
M_tot, μB per formula unit: 2.43